The following is a PBE calculation of a geometry-optimized Zn2HgTe structure, from the Alexandria database.

Geometry as POSCAR:
```
Zn2HgTe
1.0
1.987 -2.657 0.000
1.987 2.657 0.000
0.000 0.000 8.820
Zn Hg Te
2 1 1
direct
0.000 0.000 0.000
0.500 0.500 0.190
0.000 0.000 0.429
0.500 0.500 0.765
```

Computed properties:
space-group type	No. 35
energy	-5.423	eV per cell
excess energy over the best structure of this formula in the dataset	165	meV/atom
raw formation energy	0.57	eV/f.u.



The following is a PBE calculation of a geometry-optimized LaZrSc2 structure, from the Alexandria database.

Geometry as POSCAR:
```
LaZrSc2
1.0
0.000 3.748 3.748
3.748 0.000 3.748
3.748 3.748 0.000
La Zr Sc
1 1 2
direct
0.000 0.000 0.000
0.500 0.500 0.500
0.250 0.250 0.250
0.750 0.750 0.750
```

Computed properties:
space-group type	No. 225
energy	-25.640	eV per cell
excess energy over the best structure of this formula in the dataset	72	meV/atom



The following is a PBE calculation of a geometry-optimized MgTl2Pd6 structure, from the Alexandria database.

Geometry as POSCAR:
```
MgTl2Pd6
1.0
7.000 0.000 0.000
0.000 5.345 0.000
-4.682 0.000 8.799
Mg Tl Pd
2 4 12
direct
0.000 0.000 0.000
0.000 0.500 0.500
0.181 0.006 0.710
0.181 0.494 0.210
0.819 0.506 0.790
0.819 0.994 0.290
0.246 0.174 0.469
0.246 0.326 0.969
0.358 0.686 0.495
0.358 0.814 0.995
0.383 0.002 0.259
0.383 0.498 0.759
0.617 0.502 0.241
0.617 0.998 0.741
0.642 0.186 0.005
0.642 0.314 0.505
0.754 0.674 0.031
0.754 0.826 0.531
```

Computed properties:
space-group type	No. 14
energy	-78.196	eV per cell
excess energy over the best structure of this formula in the dataset	126	meV/atom



The following is a PBE calculation of a geometry-optimized Pr3Sn5 structure, from the Alexandria database.

Geometry as POSCAR:
```
Pr3Sn5
1.0
13.095 0.000 0.000
0.000 10.661 0.000
0.000 0.000 6.552
Pr Sn
12 20
direct
0.059 0.250 0.131
0.151 0.505 0.626
0.151 0.995 0.626
0.349 0.005 0.126
0.349 0.495 0.126
0.441 0.750 0.631
0.559 0.250 0.369
0.651 0.505 0.874
0.651 0.995 0.874
0.849 0.005 0.374
0.849 0.495 0.374
0.941 0.750 0.869
0.002 0.750 0.395
0.091 0.548 0.128
0.091 0.952 0.128
0.228 0.750 0.891
0.242 0.750 0.353
0.258 0.250 0.853
0.272 0.250 0.391
0.409 0.048 0.628
0.409 0.452 0.628
0.498 0.250 0.895
0.502 0.750 0.105
0.591 0.548 0.372
0.591 0.952 0.372
0.728 0.750 0.609
0.742 0.750 0.147
0.758 0.250 0.647
0.772 0.250 0.109
0.909 0.048 0.872
0.909 0.452 0.872
0.998 0.250 0.605
```

Computed properties:
space-group type	No. 62
energy	-158.772	eV per cell



The following is a PBE calculation of a geometry-optimized GaTc structure, from the Alexandria database.

Geometry as POSCAR:
```
GaTc
1.0
4.314 0.000 0.000
0.000 3.032 0.000
0.000 0.000 4.441
Ga Tc
2 2
direct
0.250 0.000 0.192
0.750 0.000 0.808
0.250 0.500 0.683
0.750 0.500 0.317
```

Computed properties:
space-group type	No. 51
energy	-26.975	eV per cell
excess energy over the best structure of this formula in the dataset	127	meV/atom



The following is a PBE calculation of a geometry-optimized Tb3Sm2Ir2 structure, from the Alexandria database.

Geometry as POSCAR:
```
Tb3Sm2Ir2
1.0
6.118 -1.925 0.000
6.118 1.925 0.000
-4.027 0.000 8.068
Tb Sm Ir
3 2 2
direct
0.000 0.000 0.000
0.119 0.119 0.430
0.881 0.881 0.570
0.333 0.333 0.193
0.667 0.667 0.807
0.325 0.325 0.760
0.675 0.675 0.240
```

Computed properties:
space-group type	No. 12
energy	-45.161	eV per cell



The following is a PBE calculation of a geometry-optimized RbMg3Nb structure, from the Alexandria database.

Geometry as POSCAR:
```
RbMg3Nb
1.0
5.696 0.000 0.000
0.000 5.696 0.000
0.000 0.000 5.696
Rb Mg Nb
1 3 1
direct
0.000 0.000 0.000
0.000 0.500 0.500
0.500 0.000 0.500
0.500 0.500 0.000
0.500 0.500 0.500
```

Computed properties:
space-group type	No. 221
energy	-11.913	eV per cell
excess energy over the best structure of this formula in the dataset	0	meV/atom



The following is a PBE calculation of a geometry-optimized Mg4Si7 structure, from the Alexandria database.

Geometry as POSCAR:
```
Mg4Si7
1.0
4.299 0.000 0.000
0.008 6.754 0.000
0.002 2.905 13.720
Mg Si
8 14
direct
0.000 0.000 0.000
0.000 0.069 0.232
0.000 0.539 0.305
0.001 0.514 0.067
0.499 0.785 0.160
0.500 0.432 0.494
0.501 0.361 0.720
0.501 0.900 0.593
0.000 0.577 0.604
0.001 0.157 0.446
0.001 0.203 0.614
0.002 0.793 0.448
0.003 0.099 0.793
0.003 0.409 0.854
0.003 0.737 0.742
0.500 0.180 0.089
0.501 0.162 0.362
0.501 0.385 0.207
0.501 0.749 0.969
0.502 0.803 0.356
0.503 0.417 0.937
0.504 0.906 0.799
```

Computed properties:
space-group type	No. 1
energy	-86.554	eV per cell
excess energy over the best structure of this formula in the dataset	1	meV/atom
raw formation energy	1.06	eV/f.u.



The following is a PBE calculation of a geometry-optimized Cs12Cd5I3 structure, from the Alexandria database.

Geometry as POSCAR:
```
Cs12Cd5I3
1.0
-11.493 11.493 11.493
11.493 -11.493 11.493
11.493 11.493 -11.493
Cs Cd I
48 20 12
direct
0.053 0.227 0.120
0.053 0.326 0.933
0.067 0.620 0.393
0.067 0.947 0.674
0.107 0.727 0.674
0.107 0.880 0.433
0.120 0.053 0.227
0.120 0.567 0.893
0.174 0.227 0.607
0.174 0.447 0.567
0.227 0.120 0.053
0.227 0.607 0.174
0.273 0.326 0.893
0.273 0.447 0.380
0.326 0.893 0.273
0.326 0.933 0.053
0.380 0.273 0.447
0.380 0.607 0.933
0.393 0.067 0.620
0.393 0.826 0.773
0.433 0.107 0.880
0.433 0.826 0.553
0.447 0.380 0.273
0.447 0.567 0.174
0.553 0.433 0.826
0.553 0.620 0.727
0.567 0.174 0.447
0.567 0.893 0.120
0.607 0.174 0.227
0.607 0.933 0.380
0.620 0.393 0.067
0.620 0.727 0.553
0.674 0.067 0.947
0.674 0.107 0.727
0.727 0.553 0.620
0.727 0.674 0.107
0.773 0.393 0.826
0.773 0.880 0.947
0.826 0.553 0.433
0.826 0.773 0.393
0.880 0.433 0.107
0.880 0.947 0.773
0.893 0.120 0.567
0.893 0.273 0.326
0.933 0.053 0.326
0.933 0.380 0.607
0.947 0.674 0.067
0.947 0.773 0.880
0.000 0.000 0.000
0.000 0.000 0.500
0.000 0.500 0.000
0.000 0.500 0.500
0.125 0.750 0.875
0.125 0.875 0.250
0.250 0.125 0.875
0.250 0.625 0.375
0.375 0.250 0.625
0.375 0.625 0.750
0.500 0.000 0.000
0.500 0.000 0.500
0.500 0.500 0.000
0.500 0.500 0.500
0.625 0.375 0.250
0.625 0.750 0.375
0.750 0.375 0.625
0.750 0.875 0.125
0.875 0.125 0.750
0.875 0.250 0.125
0.125 0.250 0.375
0.125 0.375 0.750
0.250 0.375 0.125
0.250 0.875 0.625
0.375 0.125 0.250
0.375 0.750 0.125
0.625 0.250 0.875
0.625 0.875 0.750
0.750 0.125 0.375
0.750 0.625 0.875
0.875 0.625 0.250
0.875 0.750 0.625
```

Computed properties:
space-group type	No. 230
energy	-101.782	eV per cell
raw formation energy	-5.98	eV/f.u.



The following is a PBE calculation of a geometry-optimized Sr4Te structure, from the Alexandria database.

Geometry as POSCAR:
```
Sr4Te
1.0
6.457 0.000 0.000
0.000 6.457 0.000
0.000 0.000 6.457
Sr Te
4 1
direct
0.000 0.000 0.000
0.000 0.500 0.500
0.500 0.000 0.500
0.500 0.500 0.000
0.500 0.500 0.500
```

Computed properties:
space-group type	No. 221
energy	-12.351	eV per cell
excess energy over the best structure of this formula in the dataset	0	meV/atom
raw formation energy	-2.48	eV/f.u.



The following is a PBE calculation of a geometry-optimized KGaCuF6 structure, from the Alexandria database.

Geometry as POSCAR:
```
KGaCuF6
1.0
7.431 0.000 0.000
0.000 10.111 0.000
-0.593 0.000 6.794
K Ga Cu F
4 4 4 24
direct
0.237 0.116 0.004
0.237 0.384 0.504
0.763 0.616 0.496
0.763 0.884 0.996
0.000 0.000 0.500
0.000 0.500 0.000
0.500 0.000 0.500
0.500 0.500 0.000
0.261 0.731 0.319
0.261 0.769 0.819
0.739 0.231 0.181
0.739 0.269 0.681
0.036 0.158 0.638
0.036 0.342 0.138
0.077 0.595 0.241
0.077 0.905 0.741
0.244 0.017 0.413
0.244 0.483 0.913
0.244 0.668 0.581
0.244 0.832 0.081
0.450 0.553 0.253
0.450 0.947 0.753
0.491 0.683 0.911
0.491 0.817 0.411
0.509 0.183 0.589
0.509 0.317 0.089
0.550 0.053 0.247
0.550 0.447 0.747
0.756 0.168 0.919
0.756 0.332 0.419
0.756 0.517 0.087
0.756 0.983 0.587
0.923 0.095 0.259
0.923 0.405 0.759
0.964 0.658 0.862
0.964 0.842 0.362
```

Computed properties:
space-group type	No. 14
energy	-162.335	eV per cell
excess energy over the best structure of this formula in the dataset	3	meV/atom
raw formation energy	-21.14	eV/f.u.



The following is a PBE calculation of a geometry-optimized KRbBe2 structure, from the Alexandria database.

Geometry as POSCAR:
```
KRbBe2
1.0
5.996 0.000 0.000
-2.998 5.193 0.000
0.000 0.000 4.234
K Rb Be
1 1 2
direct
0.000 0.000 0.000
0.667 0.333 0.500
0.333 0.667 0.246
0.333 0.667 0.746
```

Computed properties:
space-group type	No. 156
energy	-6.756	eV per cell
excess energy over the best structure of this formula in the dataset	223	meV/atom



The following is a PBE calculation of a geometry-optimized NbNCl3 structure, from the Alexandria database.

Geometry as POSCAR:
```
NbNCl3
1.0
4.900 0.000 0.000
0.000 4.900 0.000
0.000 0.000 4.900
Nb N Cl
1 1 3
direct
0.000 0.000 0.000
0.500 0.500 0.500
0.000 0.000 0.500
0.000 0.500 0.000
0.500 0.000 0.000
```

Computed properties:
space-group type	No. 221
energy	-22.630	eV per cell
excess energy over the best structure of this formula in the dataset	0	meV/atom
raw formation energy	1.31	eV/f.u.



The following is a PBE calculation of a geometry-optimized Mg2ReRh structure, from the Alexandria database.

Geometry as POSCAR:
```
Mg2ReRh
1.0
0.000 3.175 3.175
3.175 0.000 3.175
3.175 3.175 0.000
Mg Re Rh
2 1 1
direct
0.250 0.250 0.250
0.750 0.750 0.750
0.000 0.000 0.000
0.500 0.500 0.500
```

Computed properties:
space-group type	No. 225
energy	-21.618	eV per cell
excess energy over the best structure of this formula in the dataset	408	meV/atom



The following is a PBE calculation of a geometry-optimized CeThZr structure, from the Alexandria database.

Geometry as POSCAR:
```
CeThZr
1.0
6.163 0.000 0.000
0.000 3.294 0.000
0.000 0.000 8.244
Ce Th Zr
2 2 2
direct
0.250 0.000 0.190
0.750 0.000 0.810
0.250 0.500 0.846
0.750 0.500 0.154
0.000 0.500 0.500
0.500 0.500 0.500
```

Computed properties:
space-group type	No. 51
energy	-42.338	eV per cell
excess energy over the best structure of this formula in the dataset	180	meV/atom



The following is a PBE calculation of a geometry-optimized CsLaIO2 structure, from the Alexandria database.

Geometry as POSCAR:
```
CsLaIO2
1.0
4.667 0.000 0.000
0.000 4.667 0.000
0.000 0.000 6.543
Cs La I O
1 1 1 2
direct
0.000 0.000 0.000
0.500 0.500 0.500
0.000 0.000 0.500
0.000 0.500 0.000
0.500 0.000 0.000
```

Computed properties:
space-group type	No. 123
energy	-18.302	eV per cell
excess energy over the best structure of this formula in the dataset	1550	meV/atom
raw formation energy	-1.05	eV/f.u.



The following is a PBE calculation of a geometry-optimized Er6ThSc3 structure, from the Alexandria database.

Geometry as POSCAR:
```
Er6ThSc3
1.0
4.771 2.755 3.752
-4.771 2.755 3.752
0.000 -5.510 3.752
Er Th Sc
6 1 3
direct
0.000 0.341 0.659
0.162 0.838 0.500
0.341 0.659 0.000
0.500 0.162 0.838
0.659 0.000 0.341
0.838 0.500 0.162
0.000 0.000 0.000
0.264 0.264 0.264
0.500 0.500 0.500
0.736 0.736 0.736
```

Computed properties:
space-group type	No. 155
energy	-51.711	eV per cell
excess energy over the best structure of this formula in the dataset	116	meV/atom



The following is a PBE calculation of a geometry-optimized YLuOsRu structure, from the Alexandria database.

Geometry as POSCAR:
```
YLuOsRu
1.0
0.000 3.376 3.376
3.376 0.000 3.376
3.376 3.376 0.000
Y Lu Os Ru
1 1 1 1
direct
0.000 0.000 0.000
0.500 0.500 0.500
0.750 0.750 0.750
0.250 0.250 0.250
```

Computed properties:
space-group type	No. 216
energy	-32.356	eV per cell



The following is a PBE calculation of a geometry-optimized NiPPt structure, from the Alexandria database.

Geometry as POSCAR:
```
NiPPt
1.0
4.024 0.000 0.000
0.000 3.560 0.000
-1.648 0.000 5.626
Ni P Pt
2 2 2
direct
0.223 0.250 0.479
0.777 0.750 0.521
0.333 0.750 0.741
0.667 0.250 0.259
0.244 0.750 0.127
0.756 0.250 0.873
```

Computed properties:
space-group type	No. 11
energy	-37.035	eV per cell